No. 1
Material: Nd4ErZn
Method: DFT, PBE
State: relaxed

abc: 6.3759 9.2383 8.2479
angles: 114.49 100.11 112.12
Closest atoms and distances in Å follow each position.
Positions (direct):
Nd: 0.7636 0.7131 0.6334  2 Zn 3.11-3.12, 3 Nd 3.42-3.47
Nd: 0.7666 0.3909 0.2230  2 Zn 3.26, 2 Er 3.40-3.58, 3 Nd 3.42-3.63
Nd: 0.2334 0.6091 0.7770  2 Zn 3.26, 2 Er 3.40-3.58, 3 Nd 3.42-3.63
Nd: 0.2364 0.2869 0.3666  2 Zn 3.11-3.12, 3 Nd 3.42-3.47
Nd: 0.6302 0.0798 0.3666  2 Zn 3.11-3.12, 3 Nd 3.42-3.47
Nd: 0.3698 0.9202 0.6334  2 Zn 3.11-3.12, 3 Nd 3.42-3.47
Nd: 0.9564 0.8321 0.2230  2 Zn 3.26, 2 Er 3.40-3.58, 3 Nd 3.42-3.63
Nd: 0.0436 0.1679 0.7770  2 Zn 3.26, 2 Er 3.40-3.58, 3 Nd 3.42-3.63
Er: 0.3429 0.5929 0.1859  8 Nd 3.40-3.62
Er: 0.6571 0.4071 0.8141  8 Nd 3.40-3.62
Zn: 0.2506 0.0006 0.0013  8 Nd 3.11-3.26, 2 Zn 3.19
Zn: 0.7494 0.9994 0.9987  8 Nd 3.11-3.26, 2 Zn 3.19

Formation energy in eV/atom: 0.00
Calculated volume in Å³/cell: 376.5
Space-group type: No. 15
Crystal system: monoclinic

***

No. 2
Material: ThPS
Method: DFT, PBE
State: relaxed

abc: 4.7458 4.7458 4.7458
angles: 60.00 60.00 60.00
Closest atoms and distances in Å follow each position.
Positions (direct):
P: 0.0000 0.0000 0.0000  4 Th 2.91
S: 0.5000 0.5000 0.5000  4 Th 2.91
Th: 0.2500 0.2500 0.2500  4 P 2.91, 4 S 2.91

E in eV per atom: -6.759
Calculated volume in Å³/cell: 75.6
Space-group type: No. 216
Crystal system: cubic

***

No. 3
Material: Tb2PmY4Tm2
Method: DFT, PBE
State: relaxed

abc: 3.5919 9.4953 9.5402
angles: 115.24 90.00 100.90
Closest atoms and distances in Å follow each position.
Positions (direct):
Y: 0.1857 0.3714 0.3336  6 Y 3.53-3.60, 2 Tm 3.54, 1 Pm 3.54, 3 Tb 3.55-3.58
Y: 0.4813 0.9626 0.6651  5 Y 3.51-3.60, 4 Tb 3.54-3.59, 2 Pm 3.55, 1 Tm 3.56
Y: 0.8143 0.6286 0.6664  6 Y 3.53-3.60, 2 Tm 3.54, 1 Pm 3.54, 3 Tb 3.55-3.58
Y: 0.5187 0.0374 0.3349  5 Y 3.51-3.60, 4 Tb 3.54-3.59, 2 Pm 3.55, 1 Tm 3.56
Tb: 0.1486 0.2973 0.6682  3 Tm 3.51-3.52, 7 Y 3.54-3.59, 2 Tb 3.59
Tb: 0.8514 0.7027 0.3318  3 Tm 3.51-3.52, 7 Y 3.54-3.59, 2 Tb 3.59
Tm: 0.3320 0.6640 0.9998  3 Tb 3.51-3.52, 3 Y 3.54-3.56, 4 Tm 3.55-3.59, 2 Pm 3.61
Tm: 0.6680 0.3360 0.0002  3 Tb 3.51-3.52, 3 Y 3.54-3.56, 4 Tm 3.55-3.59, 2 Pm 3.61
Pm: 0.0000 0.0000 0.0000  6 Y 3.54-3.55, 2 Pm 3.59, 4 Tm 3.61

Formation energy in eV/atom: 0.00
Calculated volume in Å³/cell: 287.8
Space-group type: No. 12
Crystal system: monoclinic

***

No. 4
Material: CdTcIr2
Method: DFT, PBE
State: relaxed

abc: 5.5343 5.5343 5.5343
angles: 150.81 128.70 60.12
Closest atoms and distances in Å follow each position.
Positions (direct):
Tc: 0.7500 0.2500 0.5000  4 Ir 2.64, 4 Cd 2.77, 2 Tc 2.79
Ir: 0.5162 0.5162 0.0000  2 Tc 2.64, 6 Ir 2.79, 2 Cd 2.91
Ir: 0.9838 0.9838 0.0000  2 Tc 2.64, 6 Ir 2.79, 2 Cd 2.91
Cd: 0.2500 0.7500 0.5000  4 Tc 2.77, 2 Cd 2.79, 4 Ir 2.91

Formation energy in eV/atom: 0.35
Calculated volume in Å³/cell: 64.0
Space-group type: No. 71
Crystal system: orthorhombic

***

No. 5
Material: YIr2Pd2
Method: DFT, PBE
State: relaxed

abc: 7.6965 7.6965 2.9034
angles: 90.00 90.00 90.00
Closest atoms and distances in Å follow each position.
Positions (direct):
Ir: 0.6735 0.8265 0.5000  6 Pd 2.62-2.75, 2 Ir 2.90
Ir: 0.3265 0.1735 0.5000  6 Pd 2.62-2.75, 2 Ir 2.90
Ir: 0.1735 0.6735 0.5000  6 Pd 2.62-2.75, 2 Ir 2.90
Ir: 0.8265 0.3265 0.5000  6 Pd 2.62-2.75, 2 Ir 2.90
Pd: 0.6257 0.1257 0.0000  6 Ir 2.62-2.75, 3 Pd 2.74-2.90
Pd: 0.1257 0.3743 0.0000  6 Ir 2.62-2.75, 3 Pd 2.74-2.90
Pd: 0.8743 0.6257 0.0000  6 Ir 2.62-2.75, 3 Pd 2.74-2.90
Pd: 0.3743 0.8743 0.0000  6 Ir 2.62-2.75, 3 Pd 2.74-2.90
Y: 0.5000 0.5000 0.0000  2 Y 2.90, 4 Pd 3.04, 8 Ir 3.19
Y: 0.0000 0.0000 0.0000  2 Y 2.90, 4 Pd 3.04, 8 Ir 3.19

Formation energy in eV/atom: -0.12
Calculated volume in Å³/cell: 172.0
Space-group type: No. 127
Crystal system: tetragonal

***

No. 6
Material: Nd6Sm2Zn
Method: DFT, PBE
State: relaxed

abc: 5.5459 10.1578 10.4807
angles: 90.00 90.00 90.00
Closest atoms and distances in Å follow each position.
Positions (direct):
Nd: 0.9999 0.6902 0.5642  1 Zn 3.22, 3 Sm 3.40-3.52, 1 Nd 3.49
Nd: 0.9999 0.0220 0.1923  1 Zn 3.23, 3 Sm 3.34-3.37
Nd: 0.4999 0.8098 0.0642  1 Zn 3.22, 3 Sm 3.40-3.52, 1 Nd 3.49
Nd: 0.0000 0.3685 0.1080  2 Zn 3.28, 3 Nd 3.49-3.63, 3 Sm 3.61-3.64
Nd: 0.4999 0.4780 0.6923  1 Zn 3.23, 3 Sm 3.34-3.37
Nd: 0.5001 0.5220 0.3077  1 Zn 3.23, 3 Sm 3.34-3.37
Nd: 0.0001 0.9780 0.8077  1 Zn 3.23, 3 Sm 3.34-3.37
Nd: 0.5000 0.1315 0.6080  2 Zn 3.28, 3 Nd 3.49-3.63, 3 Sm 3.61-3.64
Nd: 0.5000 0.8685 0.3920  2 Zn 3.28, 3 Nd 3.49-3.63, 3 Sm 3.61-3.64
Nd: 0.5001 0.1902 0.9358  1 Zn 3.22, 3 Sm 3.40-3.52, 1 Nd 3.49
Nd: 0.0000 0.6315 0.8920  2 Zn 3.28, 3 Nd 3.49-3.63, 3 Sm 3.61-3.64
Nd: 0.0001 0.3098 0.4358  1 Zn 3.22, 3 Sm 3.40-3.52, 1 Nd 3.49
Zn: 0.5000 0.5000 0.0000  8 Nd 3.22-3.28
Zn: 0.0000 0.0000 0.5000  8 Nd 3.22-3.28
Sm: 0.0000 0.6968 0.2400  10 Nd 3.34-3.71
Sm: 0.5000 0.8032 0.7400  10 Nd 3.34-3.71
Sm: 0.5000 0.1968 0.2600  10 Nd 3.34-3.71
Sm: 0.0000 0.3032 0.7600  10 Nd 3.34-3.71

Formation energy in eV/atom: 0.01
Calculated volume in Å³/cell: 590.4
Space-group type: No. 58
Crystal system: orthorhombic

***

No. 7
Material: NpCo4Ge2
Method: DFT, PBE
State: relaxed

abc: 3.6582 3.6582 8.0607
angles: 103.12 103.12 90.00
Closest atoms and distances in Å follow each position.
Positions (direct):
Np: 0.0000 0.0000 0.0000  2 Co 2.19
Co: 0.8564 0.8564 0.7129  1 Np 2.19, 4 Co 2.45
Co: 0.7500 0.2500 0.5000  8 Co 2.45-2.59, 4 Ge 2.48
Co: 0.2500 0.7500 0.5000  8 Co 2.45-2.59, 4 Ge 2.48
Co: 0.1436 0.1436 0.2871  1 Np 2.19, 4 Co 2.45
Ge: 0.3601 0.3601 0.7202  8 Co 2.48-2.59
Ge: 0.6399 0.6399 0.2798  8 Co 2.48-2.59

Formation energy in eV/atom: -0.06
Calculated volume in Å³/cell: 102.2
Space-group type: No. 139
Crystal system: tetragonal

***

No. 8
Material: TiCrCo2H
Method: DFT, PBE
State: relaxed

abc: 3.6117 3.6117 3.8021
angles: 90.00 90.00 90.00
Closest atoms and distances in Å follow each position.
Positions (direct):
Co: 0.5000 0.0000 0.0000  2 H 1.81
Co: 0.0000 0.5000 0.0000  2 H 1.81
Ti: 0.0000 0.0000 0.5000  2 H 1.90
H: 0.0000 0.0000 0.0000  4 Co 1.81, 2 Ti 1.90
Cr: 0.5000 0.5000 0.5000  4 Ti 2.55, 8 Co 2.62

E in eV per atom: -7.099
Calculated volume in Å³/cell: 49.6
Space-group type: No. 123
Crystal system: tetragonal

***

No. 9
Material: PaInSe2N
Method: DFT, PBE
State: relaxed

abc: 3.9051 3.9051 14.6224
angles: 90.00 90.00 90.00
Closest atoms and distances in Å follow each position.
Positions (direct):
N: 0.0000 0.0000 0.5000  4 Pa 2.29
N: 0.5000 0.5000 0.5000  4 Pa 2.29
Se: 0.0000 0.5000 0.6821  1 In 2.90, 4 Pa 3.12
Se: 0.5000 0.0000 0.3179  1 In 2.90, 4 Pa 3.12
Se: 0.5000 0.0000 0.8969  4 In 2.77
Se: 0.0000 0.5000 0.1031  4 In 2.77
In: 0.5000 0.0000 0.1198  5 Se 2.77-2.90
In: 0.0000 0.5000 0.8802  5 Se 2.77-2.90
Pa: 0.5000 0.0000 0.5823  4 N 2.29
Pa: 0.0000 0.5000 0.4177  4 N 2.29

E in eV per atom: -6.717
Calculated volume in Å³/cell: 223.0
Space-group type: No. 129
Crystal system: tetragonal

***

No. 10
Material: GaHgHAu
Method: DFT, PBE
State: relaxed

abc: 2.8371 3.5520 7.5591
angles: 103.23 98.65 89.71
Closest atoms and distances in Å follow each position.
Positions (direct):
Hg: 0.1109 0.0490 0.7797  2 Hg 2.84, 4 H 2.92-3.17, 2 Ga 3.00
Ga: 0.2691 0.7112 0.1117  2 Ga 2.84, 4 Au 2.86-2.87, 2 Hg 3.00
H: 0.4243 0.4034 0.5033  2 Au 1.79-1.80
Au: 0.8662 0.3285 0.3520  2 H 1.79-1.80

E in eV per atom: -2.359
Calculated volume in Å³/cell: 73.3
Space-group type: No. 1
Crystal system: triclinic

***

No. 11
Material: MnCd2As
Method: DFT, PBE
State: relaxed

abc: 7.2224 7.2224 3.8532
angles: 73.96 73.96 25.23
Closest atoms and distances in Å follow each position.
Positions (direct):
Cd: 0.0652 0.0652 0.9331  2 Mn 2.95, 6 Cd 3.05-3.15, 2 As 3.14-3.17
Cd: 0.4348 0.4348 0.5669  2 Mn 2.95, 6 Cd 3.05-3.15, 2 As 3.14-3.17
As: 0.2500 0.2500 0.2500  4 Mn 2.49
Mn: 0.7500 0.7500 0.7500  4 As 2.49

Formation energy in eV/atom: 0.06
Calculated volume in Å³/cell: 82.2
Space-group type: No. 12
Crystal system: monoclinic

***

No. 12
Material: Sn3BrO2
Method: DFT, PBE
State: relaxed

abc: 6.5271 6.5271 8.3199
angles: 66.90 66.91 60.00
Closest atoms and distances in Å follow each position.
Positions (direct):
Sn: 0.2405 0.7139 0.8052  3 O 2.34-2.45
Sn: 0.7595 0.7595 0.1948  3 O 2.34-2.45
Sn: 0.7595 0.2861 0.1948  3 O 2.34-2.45
Sn: 0.7138 0.2405 0.8052  3 O 2.34-2.45
Sn: 0.2405 0.2405 0.8052  3 O 2.34-2.45
Sn: 0.2862 0.7595 0.1948  3 O 2.34-2.45
Br: 0.1956 0.1956 0.4133  9 Sn 3.52-3.65, 3 O 3.60
Br: 0.8044 0.8044 0.5867  9 Sn 3.52-3.65, 3 O 3.60
O: 0.0000 0.0000 0.0000  6 Sn 2.45
O: 0.0000 0.5000 0.0000  4 Sn 2.34
O: 0.5000 0.0000 0.0000  4 Sn 2.34
O: 0.5000 0.5000 0.0000  4 Sn 2.34

E in eV per atom: -4.652
Calculated volume in Å³/cell: 273.7
Space-group type: No. 166
Crystal system: trigonal